(1)
Density functional theory data (PBE) for a relaxed Zr3Zn5 crystal.

DFT formation energy = -23.29 kJ/mol of atoms
Calculated total energy = -4.24 eV/atom

a = 7.6952 Å, b = 7.6952 Å, c = 7.6952 Å
α = 146.16°, β = 146.16°, γ = 48.62°
Closest atoms and distances in Å follow each position.
Fractional coordinates of all 8 atoms:
Zn: 0.9929 0.9929 0.0000  6 Zr 2.78-2.95, 2 Zn 2.78
Zn: 0.4929 0.4929 0.0000  2 Zn 2.78, 6 Zr 2.78-2.95
Zr: 0.6199 0.1199 0.5000  8 Zn 2.86-2.95, 4 Zr 3.17
Zn: 0.7571 0.7571 0.0000  6 Zr 2.78-2.95, 2 Zn 2.78
Zr: 0.8750 0.3750 0.5000  8 Zn 2.78
Zr: 0.1301 0.6301 0.5000  8 Zn 2.86-2.95, 4 Zr 3.17
Zn: 0.3750 0.8750 0.5000  8 Zn 2.78
Zn: 0.2571 0.2571 0.0000  2 Zn 2.78, 6 Zr 2.78-2.95

***

(2)
Density functional theory data (PBE) for a relaxed ZrZn4 crystal.

DFT formation energy = 3.36 kJ/mol of atoms
Calculated total energy = -2.69 eV/atom

a = 11.3148 Å, b = 11.3148 Å, c = 11.3148 Å
α = 15.13°, β = 15.13°, γ = 15.13°
Closest atoms and distances in Å follow each position.
Fractional coordinates of all 5 atoms:
Zn: 0.3031 0.3031 0.3031  12 Zn 2.66-2.98
Zr: 0.5000 0.5000 0.5000  6 Zr 2.98, 6 Zn 3.01
Zn: 0.9070 0.9070 0.9070  9 Zn 2.72-2.98, 3 Zr 3.01
Zn: 0.6969 0.6969 0.6969  12 Zn 2.66-2.98
Zn: 0.0930 0.0930 0.0930  9 Zn 2.72-2.98, 3 Zr 3.01